The following is a DFT calculation (PBE) of CeTlH after structural relaxation.

Computed properties:
* crystal system: tetragonal
* E above lowest polymorph: 0.247 eV per atom

Cell: 6.3850 6.3850 6.3850 Å, 150.21 150.21 42.64°
Last column: nearest neighbours and their distance in Å.
Positions (direct):
Ce  0.0000  0.0000  0.0000  4 H 2.37
Tl  0.2758  0.2758  0.0000  1 H 3.14, 1 Ce 3.28, 4 Tl 3.28
H  0.5399  0.5399  0.0000  4 Ce 2.37

=====

The following is a DFT calculation (PBE) of Ce6Tl2H after structural relaxation.

Computed properties:
* E: -5.04 eV/atom
* crystal system: monoclinic

Cell: 6.6927 6.7561 11.7912 Å, 90.00 124.03 90.00°
Last column: nearest neighbours and their distance in Å.
Positions (direct):
Ce  0.1971  0.2148  0.0250  2 Ce 2.74-2.75, 1 H 2.93
Ce  0.1971  0.2852  0.5250  2 Ce 2.74-2.75, 1 H 2.93
Ce  0.2376  0.7183  0.0076  1 H 2.33
Ce  0.2376  0.7817  0.5076  1 H 2.33
Ce  0.2861  0.0214  0.2536  1 H 2.42
Ce  0.2861  0.4786  0.7536  1 H 2.42
Ce  0.7139  0.5214  0.2464  1 H 2.42
Ce  0.7139  0.9786  0.7464  1 H 2.42
Ce  0.7624  0.2183  0.4924  1 H 2.33
Ce  0.7624  0.2817  0.9924  1 H 2.33
Ce  0.8029  0.7148  0.4750  2 Ce 2.74-2.75, 1 H 2.93
Ce  0.8029  0.7852  0.9750  2 Ce 2.74-2.75, 1 H 2.93
Tl  0.2379  0.5128  0.2710  12 Ce 3.33-3.58
Tl  0.2379  0.9872  0.7710  12 Ce 3.33-3.58
Tl  0.7621  0.0128  0.2290  12 Ce 3.33-3.58
Tl  0.7621  0.4872  0.7290  12 Ce 3.33-3.58
H  0.5000  0.0000  0.5000  4 Ce 2.33-2.42
H  0.5000  0.5000  0.0000  4 Ce 2.33-2.42

=====

The following is a DFT calculation (PBE) of Ce4TlH after structural relaxation.

Computed properties:
* E: -4.98 eV/atom
* crystal system: orthorhombic

Cell: 8.7463 8.7463 8.7463 Å, 141.76 135.47 60.11°
Last column: nearest neighbours and their distance in Å.
Positions (direct):
Ce  0.1323  0.3921  0.7402  2 H 2.51
Ce  0.2160  0.2160  0.0000  2 Ce 3.17, 4 Tl 3.24-3.35
Ce  0.2278  0.0000  0.2278  2 H 2.37
Ce  0.3481  0.6079  0.7402  2 H 2.51
Ce  0.6519  0.3921  0.2598  2 H 2.51
Ce  0.7722  0.0000  0.7722  2 H 2.37
Ce  0.7840  0.7840  0.0000  2 Ce 3.17, 4 Tl 3.24-3.35
Ce  0.8677  0.6079  0.2598  2 H 2.51
Tl  0.3154  0.8154  0.5000  12 Ce 3.24-3.54
Tl  0.6846  0.1846  0.5000  12 Ce 3.24-3.54
H  0.0000  0.3181  0.3181  1 H 2.08
H  0.0000  0.6819  0.6819  1 H 2.08

=====

The following is a DFT calculation (PBE) of Ce4Tl5H after structural relaxation.

Computed properties:
* E: -3.96 eV/atom
* crystal system: monoclinic

Cell: 8.7483 8.7483 9.1743 Å, 94.45 94.45 22.20°
Last column: nearest neighbours and their distance in Å.
Positions (direct):
Ce  0.0147  0.0147  0.1801  2 H 2.36
Ce  0.3345  0.3345  0.9509  1 H 2.84
Ce  0.6655  0.6655  0.0491  1 H 2.84
Ce  0.9853  0.9853  0.8199  2 H 2.36
Tl  0.1644  0.1644  0.7241  5 Tl 3.11-3.40, 4 Ce 3.26-3.45
Tl  0.1790  0.1790  0.3879  5 Tl 3.11-3.40, 1 Ce 3.28
Tl  0.5000  0.5000  0.5000  10 Tl 3.37-3.76, 4 Ce 3.41
Tl  0.8210  0.8210  0.6121  5 Tl 3.11-3.40, 1 Ce 3.28
Tl  0.8356  0.8356  0.2759  5 Tl 3.11-3.40, 4 Ce 3.26-3.45
H  0.5000  0.5000  0.0000  4 Ce 2.36

=====

The following is a DFT calculation (PBE) of CeTlH after structural relaxation.

Computed properties:
* crystal system: trigonal
* E above lowest polymorph: 0.125 eV per atom

Cell: 11.1137 11.1137 11.1137 Å, 19.34 19.34 19.34°
Last column: nearest neighbours and their distance in Å.
Positions (direct):
Ce  0.1190  0.1190  0.1190  4 H 2.30-2.31
Ce  0.8810  0.8810  0.8810  4 H 2.30-2.31
Tl  0.3699  0.3699  0.3699  3 Tl 3.22, 3 Ce 3.45
Tl  0.6301  0.6301  0.6301  3 Tl 3.22, 3 Ce 3.45
H  0.1897  0.1897  0.1897  4 Ce 2.30-2.31
H  0.8103  0.8103  0.8103  4 Ce 2.30-2.31

=====

The following is a DFT calculation (PBE) of Ce6Tl3H after structural relaxation.

Computed properties:
* E: -4.82 eV/atom
* crystal system: orthorhombic

Cell: 10.6456 10.6456 4.5832 Å, 90.00 90.00 100.26°
Last column: nearest neighbours and their distance in Å.
Positions (direct):
Ce  0.0549  0.9451  0.7500  1 H 2.40
Ce  0.0682  0.5637  0.7500  1 H 2.65, 2 Ce 2.91
Ce  0.2407  0.7593  0.2500  2 H 2.38
Ce  0.2855  0.3962  0.2500  2 Ce 2.92
Ce  0.3962  0.2855  0.7500  2 Ce 2.92
Ce  0.4363  0.9318  0.7500  1 H 2.65, 2 Ce 2.91
Ce  0.5637  0.0682  0.2500  1 H 2.65, 2 Ce 2.91
Ce  0.6038  0.7145  0.2500  2 Ce 2.92
Ce  0.7145  0.6038  0.7500  2 Ce 2.92
Ce  0.7593  0.2407  0.7500  2 H 2.38
Ce  0.9318  0.4363  0.2500  1 H 2.65, 2 Ce 2.91
Ce  0.9451  0.0549  0.2500  1 H 2.40
Tl  0.0730  0.2640  0.7500  10 Ce 3.20-3.44
Tl  0.2640  0.0730  0.2500  10 Ce 3.20-3.44
Tl  0.3903  0.6097  0.7500  1 H 3.08, 8 Ce 3.28-3.38
Tl  0.6097  0.3903  0.2500  1 H 3.08, 8 Ce 3.28-3.38
Tl  0.7360  0.9270  0.7500  10 Ce 3.20-3.44
Tl  0.9270  0.7360  0.2500  10 Ce 3.20-3.44
H  0.2015  0.7985  0.7500  5 Ce 2.38-2.65
H  0.7985  0.2015  0.2500  5 Ce 2.38-2.65

=====

The following is a DFT calculation (PBE) of Ce8Tl4H after structural relaxation.

Computed properties:
* E: -4.83 eV/atom
* crystal system: orthorhombic

Cell: 4.5171 4.6091 16.3446 Å, 90.00 90.00 90.00°
Last column: nearest neighbours and their distance in Å.
Positions (direct):
Ce  0.0000  0.0000  0.0000  4 Ce 3.23, 4 Tl 3.26-3.39
Ce  0.0000  0.0000  0.2998  1 H 2.41
Ce  0.0000  0.5000  0.1899  2 Ce 2.92
Ce  0.0000  0.5000  0.4926  2 H 2.42
Ce  0.5000  0.0000  0.5010  2 H 2.43
Ce  0.5000  0.0000  0.8017  2 Ce 2.93
Ce  0.5000  0.5000  0.6912  2 Ce 2.93
Ce  0.5000  0.5000  0.9920  4 Ce 3.23, 4 Tl 3.26-3.39
Tl  0.0000  0.0000  0.6461  1 H 3.26, 10 Ce 3.28-3.41
Tl  0.0000  0.5000  0.8478  10 Ce 3.26-3.41
Tl  0.5000  0.0000  0.1439  10 Ce 3.26-3.40
Tl  0.5000  0.5000  0.3471  10 Ce 3.28-3.42, 4 H 3.62
H  0.0000  0.0000  0.4469  5 Ce 2.41-2.43

=====

The following is a DFT calculation (PBE) of CeTlH after structural relaxation.

Computed properties:
* crystal system: hexagonal
* E above lowest polymorph: 0.088 eV per atom

Cell: 3.8488 3.8488 5.1236 Å, 90.00 90.00 120.00°
Last column: nearest neighbours and their distance in Å.
Positions (direct):
Ce  0.0000  0.0000  0.0000  3 H 2.22
Tl  0.6667  0.3333  0.5000  6 Ce 3.39, 6 H 3.39
H  0.3333  0.6667  0.0000  3 Ce 2.22